The following is a DFT calculation (PBE) of a geometry-optimized Ac2PuSb2O2 structure.

```
Ac2PuSb2O2
1.0
-2.2803 2.2803 8.5854
2.2803 -2.2803 8.5854
2.2803 2.2803 -8.5854
Ac Pu Sb O
2 1 2 2
direct
0.1217 0.1217 0.0000 Ac
0.8783 0.8783 0.0000 Ac
0.5000 0.5000 0.0000 Pu
0.3191 0.3191 0.0000 Sb
0.6809 0.6809 0.0000 Sb
0.0000 0.5000 0.5000 O
0.5000 0.0000 0.5000 O
```

## Properties
SG	I4/mmm (139)
crystal system	tetragonal
mass density	9053	kg/m³
electronic total energy	-7.674	eV/atom